[1]
DFT (GGA-PBEsol) results for FeF3 after structural relaxation. Values from VASP.

Cell and atoms, written as Quantum ESPRESSO input:
```
&SYSTEM
  ibrav = 0, nat = 4, ntyp = 2
/
ATOMIC_SPECIES
Fe 55.84 Fe.upf
F 19.00 F.upf
CELL_PARAMETERS angstrom
3.8422 0.0000 0.0000
0.0000 3.8422 0.0000
0.0000 0.0000 3.8422
ATOMIC_POSITIONS crystal
Fe 0.0000 0.0000 0.0000
F 0.0000 0.0000 0.5000
F 0.0000 0.5000 0.0000
F 0.5000 0.0000 0.0000
```

Output
ΔE_f (raw) ... -2077 meV/atom
DOS(E_F) ... 0.390 states/eV per atom

[2]
DFT (GGA-PBEsol) results for FeF3 after structural relaxation. Values from VASP.

Cell and atoms, written as Quantum ESPRESSO input:
```
&SYSTEM
  ibrav = 0, nat = 16, ntyp = 2
/
ATOMIC_SPECIES
Fe 55.84 Fe.upf
F 19.00 F.upf
CELL_PARAMETERS angstrom
0.0000 5.1751 5.1751
5.1751 0.0000 5.1751
5.1751 5.1751 0.0000
ATOMIC_POSITIONS crystal
Fe 0.0000 0.0000 0.0000
Fe 0.0000 0.0000 0.5000
Fe 0.0000 0.5000 0.0000
Fe 0.5000 0.0000 0.0000
F 0.0621 0.0621 0.6879
F 0.0621 0.6879 0.0621
F 0.0621 0.6879 0.6879
F 0.3121 0.3121 0.9379
F 0.3121 0.9379 0.3121
F 0.3121 0.9379 0.9379
F 0.6879 0.0621 0.0621
F 0.6879 0.0621 0.6879
F 0.6879 0.6879 0.0621
F 0.9379 0.3121 0.3121
F 0.9379 0.3121 0.9379
F 0.9379 0.9379 0.3121
```

Output
ΔE_f (raw) ... -2082 meV/atom
DOS(E_F) ... 0.006 states/eV per atom

[3]
DFT (GGA-PBEsol) results for FeF2 after structural relaxation. Values from VASP.

Cell and atoms, written as Quantum ESPRESSO input:
```
&SYSTEM
  ibrav = 0, nat = 6, ntyp = 2
/
ATOMIC_SPECIES
Fe 55.84 Fe.upf
F 19.00 F.upf
CELL_PARAMETERS angstrom
4.9981 0.0000 0.0000
0.0000 4.9981 0.0000
0.0000 0.0000 2.8029
ATOMIC_POSITIONS crystal
Fe 0.0000 0.0000 0.0000
Fe 0.5000 0.5000 0.5000
F 0.2152 0.2152 0.5000
F 0.2848 0.7152 0.0000
F 0.7152 0.2848 0.0000
F 0.7848 0.7848 0.5000
```

Output
ΔE_f (raw) ... -1844 meV/atom
DOS(E_F) ... 0.526 states/eV per atom

[4]
DFT (GGA-PBEsol) results for Fe3F after structural relaxation. Values from VASP.

Cell and atoms, written as Quantum ESPRESSO input:
```
&SYSTEM
  ibrav = 0, nat = 4, ntyp = 2
/
ATOMIC_SPECIES
Fe 55.84 Fe.upf
F 19.00 F.upf
CELL_PARAMETERS angstrom
3.6048 0.0000 0.0000
0.0000 3.6048 0.0000
0.0000 0.0000 3.6048
ATOMIC_POSITIONS crystal
Fe 0.0000 0.0000 0.5000
Fe 0.0000 0.5000 0.0000
Fe 0.5000 0.0000 0.0000
F 0.5000 0.5000 0.5000
```

Output
ΔE_f (raw) ... 263 meV/atom
DOS(E_F) ... 0.741 states/eV per atom

Number 1: total DFT energy (no corrections) -5.764 eV per atom. Number 2: total DFT energy (no corrections) -5.769 eV per atom. Number 3: total DFT energy (no corrections) -6.117 eV per atom. Number 4: total DFT energy (no corrections) -6.941 eV per atom.